(1)
Computed, not measured: a relaxed EuLuMgSc crystal at the PBE level of DFT.

## Properties
DOS at the Fermi energy   14.52 states/eV/cell
Total moment   28.5 μB per cell
Energy of formation from the pure elements   0.102 eV/atom

a b c (Å): 7.6935 7.6935 7.6935
angles (deg): 90.00 90.00 90.00
Closest atoms and distances in Å follow each position.
Element x y z (fractional)
Eu: 0.0000 0.0000 0.0000  4 Mg 3.33, 4 Sc 3.33
Eu: 0.0000 0.5000 0.5000  4 Mg 3.33, 4 Sc 3.33
Eu: 0.5000 0.0000 0.5000  4 Mg 3.33, 4 Sc 3.33
Eu: 0.5000 0.5000 0.0000  4 Mg 3.33, 4 Sc 3.33
Lu: 0.0000 0.0000 0.5000  4 Sc 3.33, 4 Mg 3.33
Lu: 0.0000 0.5000 0.0000  4 Sc 3.33, 4 Mg 3.33
Lu: 0.5000 0.0000 0.0000  4 Sc 3.33, 4 Mg 3.33
Lu: 0.5000 0.5000 0.5000  4 Sc 3.33, 4 Mg 3.33
Mg: 0.2500 0.2500 0.2500  4 Eu 3.33, 4 Lu 3.33
Mg: 0.2500 0.7500 0.7500  4 Eu 3.33, 4 Lu 3.33
Mg: 0.7500 0.2500 0.7500  4 Eu 3.33, 4 Lu 3.33
Mg: 0.7500 0.7500 0.2500  4 Eu 3.33, 4 Lu 3.33
Sc: 0.2500 0.2500 0.7500  4 Eu 3.33, 4 Lu 3.33
Sc: 0.2500 0.7500 0.2500  4 Eu 3.33, 4 Lu 3.33
Sc: 0.7500 0.2500 0.2500  4 Eu 3.33, 4 Lu 3.33
Sc: 0.7500 0.7500 0.7500  4 Lu 3.33, 4 Eu 3.33

=====

(2)
Computed, not measured: a relaxed EuLuMgSn crystal at the PBE level of DFT.

## Properties
DOS at the Fermi energy   13.68 states/eV/cell
Total moment   29.6 μB per cell
Energy of formation from the pure elements   -0.357 eV/atom

a b c (Å): 7.5917 7.5917 7.5917
angles (deg): 90.00 90.00 90.00
Closest atoms and distances in Å follow each position.
Element x y z (fractional)
Eu: 0.0000 0.0000 0.0000  4 Sn 3.29, 4 Mg 3.29
Eu: 0.0000 0.5000 0.5000  4 Sn 3.29, 4 Mg 3.29
Eu: 0.5000 0.0000 0.5000  4 Sn 3.29, 4 Mg 3.29
Eu: 0.5000 0.5000 0.0000  4 Sn 3.29, 4 Mg 3.29
Lu: 0.0000 0.0000 0.5000  4 Sn 3.29, 4 Mg 3.29
Lu: 0.0000 0.5000 0.0000  4 Sn 3.29, 4 Mg 3.29
Lu: 0.5000 0.0000 0.0000  4 Sn 3.29, 4 Mg 3.29
Lu: 0.5000 0.5000 0.5000  4 Sn 3.29, 4 Mg 3.29
Mg: 0.2500 0.2500 0.7500  4 Eu 3.29, 4 Lu 3.29
Mg: 0.2500 0.7500 0.2500  4 Eu 3.29, 4 Lu 3.29
Mg: 0.7500 0.2500 0.2500  4 Eu 3.29, 4 Lu 3.29
Mg: 0.7500 0.7500 0.7500  4 Eu 3.29, 4 Lu 3.29
Sn: 0.2500 0.2500 0.2500  4 Eu 3.29, 4 Lu 3.29
Sn: 0.2500 0.7500 0.7500  4 Eu 3.29, 4 Lu 3.29
Sn: 0.7500 0.2500 0.7500  4 Eu 3.29, 4 Lu 3.29
Sn: 0.7500 0.7500 0.2500  4 Eu 3.29, 4 Lu 3.29

=====

(3)
Computed, not measured: a relaxed SrEuLuMg crystal at the PBE level of DFT.

## Properties
DOS at the Fermi energy   14.66 states/eV/cell
Total moment   31.2 μB per cell
Energy of formation from the pure elements   0.150 eV/atom

a b c (Å): 8.2193 8.2193 8.2193
angles (deg): 90.00 90.00 90.00
Closest atoms and distances in Å follow each position.
Element x y z (fractional)
Sr: 0.0000 0.0000 0.0000  4 Mg 3.56, 4 Eu 3.56
Sr: 0.0000 0.5000 0.5000  4 Mg 3.56, 4 Eu 3.56
Sr: 0.5000 0.0000 0.5000  4 Mg 3.56, 4 Eu 3.56
Sr: 0.5000 0.5000 0.0000  4 Mg 3.56, 4 Eu 3.56
Eu: 0.2500 0.2500 0.2500  4 Sr 3.56, 4 Lu 3.56
Eu: 0.2500 0.7500 0.7500  4 Sr 3.56, 4 Lu 3.56
Eu: 0.7500 0.2500 0.7500  4 Sr 3.56, 4 Lu 3.56
Eu: 0.7500 0.7500 0.2500  4 Sr 3.56, 4 Lu 3.56
Lu: 0.0000 0.0000 0.5000  4 Mg 3.56, 4 Eu 3.56
Lu: 0.0000 0.5000 0.0000  4 Mg 3.56, 4 Eu 3.56
Lu: 0.5000 0.0000 0.0000  4 Mg 3.56, 4 Eu 3.56
Lu: 0.5000 0.5000 0.5000  4 Mg 3.56, 4 Eu 3.56
Mg: 0.2500 0.2500 0.7500  4 Sr 3.56, 4 Lu 3.56
Mg: 0.2500 0.7500 0.2500  4 Sr 3.56, 4 Lu 3.56
Mg: 0.7500 0.2500 0.2500  4 Sr 3.56, 4 Lu 3.56
Mg: 0.7500 0.7500 0.7500  4 Sr 3.56, 4 Lu 3.56

=====

(4)
Computed, not measured: a relaxed TbEuLuMg crystal at the PBE level of DFT.

## Properties
DOS at the Fermi energy   12.01 states/eV/cell
Total moment   28.6 μB per cell
Energy of formation from the pure elements   0.062 eV/atom

a b c (Å): 7.8766 7.8766 7.8766
angles (deg): 90.00 90.00 90.00
Closest atoms and distances in Å follow each position.
Element x y z (fractional)
Tb: 0.0000 0.0000 0.0000  4 Lu 3.41, 4 Mg 3.41
Tb: 0.0000 0.5000 0.5000  4 Lu 3.41, 4 Mg 3.41
Tb: 0.5000 0.0000 0.5000  4 Lu 3.41, 4 Mg 3.41
Tb: 0.5000 0.5000 0.0000  4 Lu 3.41, 4 Mg 3.41
Eu: 0.0000 0.0000 0.5000  4 Mg 3.41, 4 Lu 3.41
Eu: 0.0000 0.5000 0.0000  4 Mg 3.41, 4 Lu 3.41
Eu: 0.5000 0.0000 0.0000  4 Mg 3.41, 4 Lu 3.41
Eu: 0.5000 0.5000 0.5000  4 Mg 3.41, 4 Lu 3.41
Lu: 0.2500 0.2500 0.2500  4 Eu 3.41, 4 Tb 3.41
Lu: 0.2500 0.7500 0.7500  4 Eu 3.41, 4 Tb 3.41
Lu: 0.7500 0.2500 0.7500  4 Eu 3.41, 4 Tb 3.41
Lu: 0.7500 0.7500 0.2500  4 Eu 3.41, 4 Tb 3.41
Mg: 0.2500 0.2500 0.7500  4 Tb 3.41, 4 Eu 3.41
Mg: 0.2500 0.7500 0.2500  4 Tb 3.41, 4 Eu 3.41
Mg: 0.7500 0.2500 0.2500  4 Tb 3.41, 4 Eu 3.41
Mg: 0.7500 0.7500 0.7500  4 Tb 3.41, 4 Eu 3.41

=====

(5)
Computed, not measured: a relaxed EuLuMgTl crystal at the PBE level of DFT.

## Properties
DOS at the Fermi energy   24.17 states/eV/cell
Total moment   29.1 μB per cell
Energy of formation from the pure elements   -0.207 eV/atom

a b c (Å): 7.6744 7.6744 7.6744
angles (deg): 90.00 90.00 90.00
Closest atoms and distances in Å follow each position.
Element x y z (fractional)
Eu: 0.0000 0.0000 0.0000  4 Tl 3.32, 4 Mg 3.32
Eu: 0.0000 0.5000 0.5000  4 Tl 3.32, 4 Mg 3.32
Eu: 0.5000 0.0000 0.5000  4 Tl 3.32, 4 Mg 3.32
Eu: 0.5000 0.5000 0.0000  4 Tl 3.32, 4 Mg 3.32
Lu: 0.0000 0.0000 0.5000  4 Mg 3.32, 4 Tl 3.32
Lu: 0.0000 0.5000 0.0000  4 Mg 3.32, 4 Tl 3.32
Lu: 0.5000 0.0000 0.0000  4 Mg 3.32, 4 Tl 3.32
Lu: 0.5000 0.5000 0.5000  4 Mg 3.32, 4 Tl 3.32
Mg: 0.2500 0.2500 0.2500  4 Eu 3.32, 4 Lu 3.32
Mg: 0.2500 0.7500 0.7500  4 Eu 3.32, 4 Lu 3.32
Mg: 0.7500 0.2500 0.7500  4 Eu 3.32, 4 Lu 3.32
Mg: 0.7500 0.7500 0.2500  4 Eu 3.32, 4 Lu 3.32
Tl: 0.2500 0.2500 0.7500  4 Eu 3.32, 4 Lu 3.32
Tl: 0.2500 0.7500 0.2500  4 Eu 3.32, 4 Lu 3.32
Tl: 0.7500 0.2500 0.2500  4 Eu 3.32, 4 Lu 3.32
Tl: 0.7500 0.7500 0.7500  4 Eu 3.32, 4 Lu 3.32

=====

(6)
Computed, not measured: a relaxed EuTmLuMg crystal at the PBE level of DFT.

## Properties
DOS at the Fermi energy   11.89 states/eV/cell
Total moment   28.5 μB per cell
Energy of formation from the pure elements   0.075 eV/atom

a b c (Å): 7.8290 7.8290 7.8290
angles (deg): 90.00 90.00 90.00
Closest atoms and distances in Å follow each position.
Element x y z (fractional)
Eu: 0.0000 0.0000 0.0000  4 Lu 3.39, 4 Mg 3.39
Eu: 0.0000 0.5000 0.5000  4 Lu 3.39, 4 Mg 3.39
Eu: 0.5000 0.0000 0.5000  4 Lu 3.39, 4 Mg 3.39
Eu: 0.5000 0.5000 0.0000  4 Lu 3.39, 4 Mg 3.39
Tm: 0.0000 0.0000 0.5000  4 Mg 3.39, 4 Lu 3.39
Tm: 0.0000 0.5000 0.0000  4 Mg 3.39, 4 Lu 3.39
Tm: 0.5000 0.0000 0.0000  4 Mg 3.39, 4 Lu 3.39
Tm: 0.5000 0.5000 0.5000  4 Mg 3.39, 4 Lu 3.39
Lu: 0.2500 0.2500 0.2500  4 Tm 3.39, 4 Eu 3.39
Lu: 0.2500 0.7500 0.7500  4 Tm 3.39, 4 Eu 3.39
Lu: 0.7500 0.2500 0.7500  4 Tm 3.39, 4 Eu 3.39
Lu: 0.7500 0.7500 0.2500  4 Tm 3.39, 4 Eu 3.39
Mg: 0.2500 0.2500 0.7500  4 Eu 3.39, 4 Tm 3.39
Mg: 0.2500 0.7500 0.2500  4 Eu 3.39, 4 Tm 3.39
Mg: 0.7500 0.2500 0.2500  4 Eu 3.39, 4 Tm 3.39
Mg: 0.7500 0.7500 0.7500  4 Eu 3.39, 4 Tm 3.39

=====

(7)
Computed, not measured: a relaxed EuLuN2 crystal at the PBE level of DFT.

## Properties
DOS at the Fermi energy   9.87 states/eV/cell
Total moment   18.0 μB per cell
Uncorrected energy   -9.172 eV/atom

a b c (Å): 3.4628 3.4628 17.1097
angles (deg): 90.00 90.00 120.00
Closest atoms and distances in Å follow each position.
Element x y z (fractional)
Eu: 0.0000 0.0000 0.0000  6 N 2.51
Eu: 0.3333 0.6667 0.6667  6 N 2.51
Eu: 0.6667 0.3333 0.3333  6 N 2.51
Lu: 0.0000 0.0000 0.5000  6 N 2.40
Lu: 0.3333 0.6667 0.1667  6 N 2.40
Lu: 0.6667 0.3333 0.8333  6 N 2.40
N: 0.0000 0.0000 0.2444  3 Lu 2.40, 3 Eu 2.51
N: 0.0000 0.0000 0.7556  3 Lu 2.40, 3 Eu 2.51
N: 0.3333 0.6667 0.4223  3 Lu 2.40, 3 Eu 2.51
N: 0.3333 0.6667 0.9110  3 Lu 2.40, 3 Eu 2.51
N: 0.6667 0.3333 0.0890  3 Lu 2.40, 3 Eu 2.51
N: 0.6667 0.3333 0.5777  3 Lu 2.40, 3 Eu 2.51

=====

(8)
Computed, not measured: a relaxed EuLuN crystal at the PBE level of DFT.

## Properties
DOS at the Fermi energy   3.21 states/eV/cell
Energy above the lowest structure with this stoichiometry   220 meV per atom
Total moment   15.5 μB per cell

a b c (Å): 3.2597 3.2597 13.6290
angles (deg): 90.00 90.00 90.00
Closest atoms and distances in Å follow each position.
Element x y z (fractional)
Eu: 0.0000 0.0000 0.0000  1 N 2.42
Eu: 0.5000 0.5000 0.5000  1 N 2.42
Lu: 0.0000 0.0000 0.2948  4 N 2.33
Lu: 0.5000 0.5000 0.7948  4 N 2.33
N: 0.0000 0.0000 0.8221  4 Lu 2.33, 1 Eu 2.42
N: 0.5000 0.5000 0.3221  4 Lu 2.33, 1 Eu 2.42

=====

(9)
Computed, not measured: a relaxed EuLuN crystal at the PBE level of DFT.

## Properties
DOS at the Fermi energy   2.18 states/eV/cell
Energy above the lowest structure with this stoichiometry   0 meV per atom
Total moment   7.4 μB per cell

a b c (Å): 3.5028 3.5028 6.2675
angles (deg): 90.00 90.00 120.00
Closest atoms and distances in Å follow each position.
Element x y z (fractional)
Eu: 0.0000 0.0000 0.0000  3 N 2.66
Lu: 0.3333 0.6667 0.5595  3 N 2.27
N: 0.6667 0.3333 0.7239  3 Lu 2.27

=====

(10)
Computed, not measured: a relaxed NaEuLuPb crystal at the PBE level of DFT.

## Properties
DOS at the Fermi energy   37.20 states/eV/cell
Total moment   29.8 μB per cell
Energy of formation from the pure elements   -0.154 eV/atom

a b c (Å): 7.8024 7.8024 7.8024
angles (deg): 90.00 90.00 90.00
Closest atoms and distances in Å follow each position.
Element x y z (fractional)
Na: 0.0000 0.0000 0.0000  4 Eu 3.38, 4 Lu 3.38
Na: 0.0000 0.5000 0.5000  4 Eu 3.38, 4 Lu 3.38
Na: 0.5000 0.0000 0.5000  4 Eu 3.38, 4 Lu 3.38
Na: 0.5000 0.5000 0.0000  4 Eu 3.38, 4 Lu 3.38
Eu: 0.2500 0.2500 0.7500  4 Pb 3.38, 4 Na 3.38
Eu: 0.2500 0.7500 0.2500  4 Pb 3.38, 4 Na 3.38
Eu: 0.7500 0.2500 0.2500  4 Pb 3.38, 4 Na 3.38
Eu: 0.7500 0.7500 0.7500  4 Na 3.38, 4 Pb 3.38
Lu: 0.2500 0.2500 0.2500  4 Pb 3.38, 4 Na 3.38
Lu: 0.2500 0.7500 0.7500  4 Pb 3.38, 4 Na 3.38
Lu: 0.7500 0.2500 0.7500  4 Pb 3.38, 4 Na 3.38
Lu: 0.7500 0.7500 0.2500  4 Pb 3.38, 4 Na 3.38
Pb: 0.0000 0.0000 0.5000  4 Lu 3.38, 4 Eu 3.38
Pb: 0.0000 0.5000 0.0000  4 Lu 3.38, 4 Eu 3.38
Pb: 0.5000 0.0000 0.0000  4 Lu 3.38, 4 Eu 3.38
Pb: 0.5000 0.5000 0.5000  4 Lu 3.38, 4 Eu 3.38

=====

(11)
Computed, not measured: a relaxed NaEuLuSn crystal at the PBE level of DFT.

## Properties
DOS at the Fermi energy   32.72 states/eV/cell
Total moment   30.1 μB per cell
Energy of formation from the pure elements   -0.255 eV/atom

a b c (Å): 7.6841 7.6841 7.6841
angles (deg): 90.00 90.00 90.00
Closest atoms and distances in Å follow each position.
Element x y z (fractional)
Na: 0.0000 0.0000 0.0000  4 Lu 3.33, 4 Eu 3.33
Na: 0.0000 0.5000 0.5000  4 Lu 3.33, 4 Eu 3.33
Na: 0.5000 0.0000 0.5000  4 Lu 3.33, 4 Eu 3.33
Na: 0.5000 0.5000 0.0000  4 Lu 3.33, 4 Eu 3.33
Eu: 0.2500 0.2500 0.2500  4 Na 3.33, 4 Sn 3.33
Eu: 0.2500 0.7500 0.7500  4 Sn 3.33, 4 Na 3.33
Eu: 0.7500 0.2500 0.7500  4 Sn 3.33, 4 Na 3.33
Eu: 0.7500 0.7500 0.2500  4 Sn 3.33, 4 Na 3.33
Lu: 0.2500 0.2500 0.7500  4 Sn 3.33, 4 Na 3.33
Lu: 0.2500 0.7500 0.2500  4 Sn 3.33, 4 Na 3.33
Lu: 0.7500 0.2500 0.2500  4 Sn 3.33, 4 Na 3.33
Lu: 0.7500 0.7500 0.7500  4 Sn 3.33, 4 Na 3.33
Sn: 0.0000 0.0000 0.5000  4 Eu 3.33, 4 Lu 3.33
Sn: 0.0000 0.5000 0.0000  4 Eu 3.33, 4 Lu 3.33
Sn: 0.5000 0.0000 0.0000  4 Eu 3.33, 4 Lu 3.33
Sn: 0.5000 0.5000 0.5000  4 Eu 3.33, 4 Lu 3.33

=====

(12)
Computed, not measured: a relaxed NdEuLu crystal at the PBE level of DFT.

## Properties
DOS at the Fermi energy   3.74 states/eV/cell
Total moment   7.4 μB per cell
Energy of formation from the pure elements   0.059 eV/atom

a b c (Å): 3.6510 3.6510 8.9819
angles (deg): 90.00 90.00 120.00
Closest atoms and distances in Å follow each position.
Element x y z (fractional)
Nd: 0.0000 0.0000 0.0000  3 Lu 3.49, 6 Nd 3.65, 3 Eu 3.82
Eu: 0.3333 0.6667 0.6448  6 Eu 3.65, 3 Lu 3.67, 3 Nd 3.82
Lu: 0.6667 0.3333 0.3101  3 Nd 3.49, 6 Lu 3.65, 3 Eu 3.67